Record 1
This record from Alexandria describes a relaxed ReSF2 crystal. The functional is PBE.

It has space group Fm-3m (No. 225), with a = 5.8830 Å, b = 5.8830 Å, c = 5.8830 Å, α = 90.00°, β = 90.00° and γ = 90.00°. The asymmetric unit holds Re at (0.0000, 0.0000, 0.0000), S at (0.0000, 0.0000, 0.5000) and F at (0.2500, 0.2500, 0.2500).

The calculation puts the total DFT energy (no corrections) at -4.74 eV per atom. For the relative energy among the computed polymorphs, the calculation gives 1035 meV per atom. As for the uncorrected formation energy: 0.34 eV/atom.

Record 2
This record from Alexandria describes a relaxed KAcTb2Se4 crystal. The functional is PBE.

It has space group P2/m (No. 10), with a = 7.3826 Å, b = 4.2047 Å, c = 7.6212 Å, α = 90.00°, β = 108.19° and γ = 90.00°. The asymmetric unit holds K at (0.0000, 0.0000, 0.0000), Ac at (0.5000, 0.5000, 0.0000), Tb at (0.0000, 0.5000, 0.5000), Tb at (0.5000, 0.0000, 0.5000), Se at (0.2415, 0.0000, 0.7245) and Se at (0.2634, 0.5000, 0.2794).

The calculation puts the total DFT energy (no corrections) at -5.32 eV per atom. As for the uncorrected formation energy: -1.77 eV/atom.

Record 3
This record from Alexandria describes a relaxed Pr12CdIn6 crystal. The functional is PBE.

It has space group R-3 (No. 148, hexagonal axes), with a = 14.6172 Å, b = 14.6172 Å, c = 10.0538 Å, α = 90.00°, β = 90.00° and γ = 120.00°. The asymmetric unit holds Pr at (0.0524, 0.7957, 0.4077), Pr at (0.0554, 0.8584, 0.7575), Cd at (0.0000, 0.0000, 0.5000) and In at (0.0653, 0.8287, 0.0752).

For the formation energy from the elements, the calculation gives -2.7 eV/f.u. The calculation puts the total DFT energy (no corrections) at -4.08 eV per atom.

Record 4
This record from Alexandria describes a relaxed La3Zn6Pt5 crystal. The functional is PBE.

It has space group Pmmn (No. 59, origin choice 2), with a = 4.3181 Å, b = 13.0351 Å, c = 9.6952 Å, α = 90.00°, β = 90.00° and γ = 90.00°. The asymmetric unit holds La at (0.2500, 0.0598, 0.2487), La at (0.2500, 0.7500, 0.2654), Zn at (0.2500, 0.0665, 0.5844), Zn at (0.2500, 0.2500, 0.0253), Zn at (0.2500, 0.2500, 0.4497), Zn at (0.2500, 0.6024, 0.9856), Pt at (0.2500, 0.0901, 0.8600), Pt at (0.2500, 0.6374, 0.5450) and Pt at (0.2500, 0.7500, 0.7992).

For the formation energy from the elements, the calculation gives -11.3 eV/f.u. The calculation puts the total DFT energy (no corrections) at -4.56 eV per atom.

Look up the total DFT energy (no corrections) of the third one. -4.08 eV per atom

Repeat the fourth record exactly.
This record from Alexandria describes a relaxed La3Zn6Pt5 crystal. The functional is PBE.

It has space group Pmmn (No. 59, origin choice 2), with a = 4.3181 Å, b = 13.0351 Å, c = 9.6952 Å, α = 90.00°, β = 90.00° and γ = 90.00°. The asymmetric unit holds La at (0.2500, 0.0598, 0.2487), La at (0.2500, 0.7500, 0.2654), Zn at (0.2500, 0.0665, 0.5844), Zn at (0.2500, 0.2500, 0.0253), Zn at (0.2500, 0.2500, 0.4497), Zn at (0.2500, 0.6024, 0.9856), Pt at (0.2500, 0.0901, 0.8600), Pt at (0.2500, 0.6374, 0.5450) and Pt at (0.2500, 0.7500, 0.7992).

For the formation energy from the elements, the calculation gives -11.3 eV/f.u. The calculation puts the total DFT energy (no corrections) at -4.56 eV per atom.

What is the total DFT energy (no corrections) in the first record? -4.74 eV per atom